Entry 1:
This record from Alexandria via LeMat-Bulk describes a relaxed ZnHgSb2 crystal. The functional is PBE.

E above lowest polymorph (eV/f.u.): 0.02
ΔE_f (raw) (meV per atom): 102

Unit cell a=4.0441 b=3.0775 c=8.5842 alpha=101.37 beta=90.00 gamma=90.00
Fractional coordinates of all 4 atoms:
Hg (0.5000, 0.7500, 0.7500)
Sb (0.0000, 0.9733, 0.0275)
Sb (0.0000, 0.5267, 0.4725)
Zn (0.5000, 0.2500, 0.2500)

***

Entry 2:
This record from Alexandria via LeMat-Bulk describes a relaxed ZnHgSb crystal. The functional is PBE.

E above lowest polymorph (eV/f.u.): 0.42
ΔE_f (raw) (meV per atom): 161

Unit cell a=7.3161 b=7.1366 c=3.2708 alpha=80.00 beta=73.87 gamma=26.12
Fractional coordinates of all 3 atoms:
Hg (0.0181, 0.0181, 0.9819)
Sb (0.3165, 0.3165, 0.6835)
Zn (0.6654, 0.6654, 0.3346)

***

Entry 3:
This record from Alexandria via LeMat-Bulk describes a relaxed ZnHgSb2 crystal. The functional is PBE.

E above lowest polymorph (eV/f.u.): 0.65
ΔE_f (raw) (meV per atom): 261

Unit cell a=5.7589 b=5.7589 c=5.7589 alpha=133.53 beta=133.53 gamma=67.83
Fractional coordinates of all 4 atoms:
Hg (0.7500, 0.2500, 0.5000)
Sb (0.0000, 0.0000, 0.0000)
Sb (0.5000, 0.5000, 0.0000)
Zn (0.2500, 0.7500, 0.5000)